# 1
Computed, not measured: crystalline Zn2SnPd at its relaxed geometry at the PBE-GGA level of DFT.

Cell: 4.054 4.107 4.107 Å, 90.00 90.00 90.00°
Atoms (fractional coordinates):
Pd 0.500 0.500 0.500
Sn 0.500 0.000 0.000
Zn 0.000 0.000 0.500
Zn 0.000 0.500 0.000

Summary:
Energy above the lowest structure with this stoichiometry, meV per atom: 30
VASP energy, eV per atom: -3.09
SG: No. 123

---

# 2
Computed, not measured: crystalline Zn2SnPd at its relaxed geometry at the PBE-GGA level of DFT.

Cell: 4.027 4.027 9.738 Å, 78.07 78.07 90.00°
Atoms (fractional coordinates):
Sn 0.750 0.250 0.500
Sn 0.000 0.000 0.000
Zn 0.587 0.125 0.250
Zn 0.375 0.413 0.750
Zn 0.875 0.837 0.750
Zn 0.163 0.625 0.250
Pd 0.500 0.500 0.000
Pd 0.250 0.750 0.500

Summary:
Energy above the lowest structure with this stoichiometry, meV per atom: 76
VASP energy, eV per atom: -3.05
SG: No. 122

---

# 3
Computed, not measured: crystalline Zn4SnPd2 at its relaxed geometry at the PBE-GGA level of DFT.

Cell: 3.101 4.253 9.168 Å, 76.58 99.74 90.00°
Atoms (fractional coordinates):
Zn 0.110 0.389 0.220
Zn 0.890 0.611 0.780
Zn 0.739 0.261 0.477
Zn 0.261 0.739 0.523
Sn 0.000 0.000 0.000
Pd 0.637 0.863 0.273
Pd 0.363 0.137 0.727

Summary:
VASP energy, eV per atom: -3.09
SG: No. 71

---

# 4
Computed, not measured: crystalline ZnSn2Pd8 at its relaxed geometry at the PBE-GGA level of DFT.

Cell: 4.218 7.247 7.311 Å, 119.71 106.76 90.00°
Atoms (fractional coordinates):
Pd 0.853 0.853 0.706
Pd 0.344 0.576 0.687
Pd 0.656 0.888 0.313
Pd 0.000 0.292 0.000
Pd 0.000 0.708 0.000
Pd 0.147 0.147 0.294
Pd 0.344 0.112 0.687
Pd 0.656 0.424 0.313
Sn 0.186 0.686 0.373
Sn 0.814 0.314 0.627
Zn 0.500 0.000 0.000

Summary:
Energy above the lowest structure with this stoichiometry, meV per atom: 0
VASP energy, eV per atom: -5.06
SG: No. 71

---

# 5
Computed, not measured: crystalline Zn2Sn2Pd7 at its relaxed geometry at the PBE-GGA level of DFT.

Cell: 5.974 5.763 5.974 Å, 89.95 97.71 90.05°
Atoms (fractional coordinates):
Zn 0.278 0.000 0.722
Zn 0.722 0.000 0.278
Pd 0.000 0.257 0.500
Pd 0.500 0.257 0.000
Pd 0.500 0.743 0.000
Pd 0.500 0.262 0.500
Pd 0.500 0.738 0.500
Pd 0.000 0.000 0.000
Pd 0.000 0.743 0.500
Sn 0.805 0.500 0.805
Sn 0.195 0.500 0.195

Summary:
VASP energy, eV per atom: -4.50
SG: No. 12

---

# 6
Computed, not measured: crystalline Zn4SnPd15 at its relaxed geometry at the PBE-GGA level of DFT.

Cell: 3.963 3.963 19.493 Å, 90.00 90.00 90.00°
Atoms (fractional coordinates):
Pd 0.000 0.500 0.105
Pd 0.500 0.000 0.895
Pd 0.500 0.000 0.303
Pd 0.500 0.000 0.105
Pd 0.500 0.500 0.204
Pd 0.500 0.500 0.000
Pd 0.000 0.500 0.303
Pd 0.500 0.500 0.402
Pd 0.500 0.000 0.500
Pd 0.500 0.000 0.697
Pd 0.500 0.500 0.796
Pd 0.000 0.500 0.697
Pd 0.500 0.500 0.598
Pd 0.000 0.500 0.500
Pd 0.000 0.500 0.895
Zn 0.000 0.000 0.205
Zn 0.000 0.000 0.401
Zn 0.000 0.000 0.795
Zn 0.000 0.000 0.599
Sn 0.000 0.000 0.000

Summary:
VASP energy, eV per atom: -4.68
SG: No. 123

---

# 7
Computed, not measured: crystalline Zn2SnPd at its relaxed geometry at the PBE-GGA level of DFT.

Cell: 4.371 4.371 5.120 Å, 64.73 64.73 60.00°
Atoms (fractional coordinates):
Pd 0.500 0.500 0.500
Zn 0.775 0.775 0.676
Zn 0.225 0.225 0.324
Sn 0.000 0.000 0.000

Summary:
Energy above the lowest structure with this stoichiometry, meV per atom: 85
VASP energy, eV per atom: -3.04
SG: No. 166

---

# 8
Computed, not measured: crystalline Zn3SnPd4 at its relaxed geometry at the PBE-GGA level of DFT.

Cell: 4.185 4.185 7.633 Å, 105.90 105.90 90.15°
Atoms (fractional coordinates):
Zn 0.249 0.749 0.496
Zn 0.000 0.500 0.000
Zn 0.751 0.251 0.504
Sn 0.500 0.000 0.000
Pd 0.869 0.869 0.738
Pd 0.369 0.369 0.738
Pd 0.131 0.131 0.262
Pd 0.631 0.631 0.262

Summary:
VASP energy, eV per atom: -4.08
SG: No. 69

---

# 9
Computed, not measured: crystalline Zn6SnPd12 at its relaxed geometry at the PBE-GGA level of DFT.

Cell: 7.037 7.037 7.037 Å, 104.69 104.69 104.69°
Atoms (fractional coordinates):
Pd 0.000 0.740 0.260
Pd 0.260 0.000 0.740
Pd 0.805 0.439 0.439
Pd 0.561 0.561 0.195
Pd 0.740 0.260 0.000
Pd 0.195 0.561 0.561
Pd 0.561 0.195 0.561
Pd 0.439 0.805 0.439
Pd 0.740 0.000 0.260
Pd 0.000 0.260 0.740
Pd 0.260 0.740 0.000
Pd 0.439 0.439 0.805
Zn 0.164 0.164 0.444
Zn 0.444 0.164 0.164
Zn 0.164 0.444 0.164
Zn 0.836 0.556 0.836
Zn 0.556 0.836 0.836
Zn 0.836 0.836 0.556
Sn 0.000 0.000 0.000

Summary:
VASP energy, eV per atom: -4.12
SG: No. 166

---

# 10
Computed, not measured: crystalline Zn5Sn12Pd3 at its relaxed geometry at the PBE-GGA level of DFT.

Cell: 13.809 13.809 13.809 Å, 109.47 109.47 109.47°
Atoms (fractional coordinates):
Sn 0.269 0.867 0.939
Sn 0.170 0.072 0.939
Sn 0.330 0.561 0.428
Sn 0.598 0.731 0.670
Sn 0.561 0.330 0.928
Sn 0.769 0.439 0.367
Sn 0.633 0.061 0.231
Sn 0.572 0.633 0.402
Sn 0.902 0.830 0.769
Sn 0.572 0.939 0.670
Sn 0.902 0.072 0.633
Sn 0.670 0.231 0.598
Sn 0.670 0.439 0.572
Sn 0.098 0.928 0.367
Sn 0.367 0.939 0.769
Sn 0.731 0.133 0.061
Sn 0.231 0.670 0.098
Sn 0.428 0.367 0.598
Sn 0.598 0.867 0.428
Sn 0.098 0.170 0.231
Sn 0.939 0.367 0.269
Sn 0.830 0.902 0.269
Sn 0.439 0.670 0.072
Sn 0.072 0.902 0.133
Sn 0.402 0.133 0.572
Sn 0.072 0.170 0.439
Sn 0.633 0.572 0.902
Sn 0.428 0.061 0.330
Sn 0.330 0.769 0.402
Sn 0.830 0.928 0.061
Sn 0.867 0.598 0.928
Sn 0.170 0.098 0.731
Sn 0.731 0.598 0.170
Sn 0.769 0.330 0.902
Sn 0.133 0.402 0.072
Sn 0.867 0.269 0.439
Sn 0.928 0.098 0.867
Sn 0.061 0.428 0.830
Sn 0.061 0.633 0.731
Sn 0.367 0.428 0.098
Sn 0.439 0.769 0.867
Sn 0.402 0.269 0.330
Sn 0.231 0.561 0.633
Sn 0.928 0.830 0.561
Sn 0.561 0.231 0.133
Sn 0.269 0.402 0.830
Sn 0.939 0.572 0.170
Sn 0.133 0.731 0.561
Zn 0.375 0.125 0.750
Zn 0.875 0.250 0.625
Zn 0.250 0.875 0.125
Zn 0.000 0.000 0.000
Zn 0.750 0.625 0.375
Zn 0.250 0.375 0.625
Zn 0.625 0.875 0.250
Zn 0.125 0.750 0.375
Zn 0.500 0.500 0.000
Zn 0.000 0.000 0.500
Zn 0.500 0.500 0.500
Zn 0.500 0.000 0.500
Zn 0.750 0.125 0.875
Zn 0.500 0.000 0.000
Zn 0.875 0.625 0.750
Zn 0.000 0.500 0.500
Zn 0.000 0.500 0.000
Zn 0.625 0.750 0.875
Zn 0.125 0.375 0.250
Zn 0.375 0.250 0.125
Pd 0.875 0.750 0.125
Pd 0.750 0.875 0.625
Pd 0.250 0.625 0.875
Pd 0.625 0.375 0.750
Pd 0.750 0.375 0.125
Pd 0.375 0.750 0.625
Pd 0.125 0.250 0.875
Pd 0.875 0.125 0.250
Pd 0.625 0.250 0.375
Pd 0.375 0.625 0.250
Pd 0.250 0.125 0.375
Pd 0.125 0.875 0.750

Summary:
VASP energy, eV per atom: -3.54
SG: No. 230

---

# 11
Computed, not measured: crystalline ZnSnPd3 at its relaxed geometry at the PBE-GGA level of DFT.

Cell: 4.924 4.924 4.924 Å, 90.00 90.00 90.00°
Atoms (fractional coordinates):
Zn 0.500 0.500 0.500
Pd 0.500 0.000 0.000
Pd 0.000 0.000 0.500
Pd 0.000 0.500 0.000
Sn 0.000 0.000 0.000

Summary:
Energy above the lowest structure with this stoichiometry, meV per atom: 937
VASP energy, eV per atom: -3.64
SG: No. 221

---

# 12
Computed, not measured: crystalline ZnSn4Pd15 at its relaxed geometry at the PBE-GGA level of DFT.

Cell: 4.026 4.026 19.954 Å, 90.00 90.00 90.00°
Atoms (fractional coordinates):
Pd 0.000 0.500 0.297
Pd 0.500 0.000 0.297
Pd 0.000 0.500 0.703
Pd 0.500 0.500 0.803
Pd 0.000 0.500 0.905
Pd 0.500 0.000 0.703
Pd 0.500 0.500 0.601
Pd 0.500 0.000 0.095
Pd 0.000 0.500 0.095
Pd 0.500 0.500 0.000
Pd 0.500 0.500 0.197
Pd 0.500 0.000 0.500
Pd 0.500 0.500 0.399
Pd 0.000 0.500 0.500
Pd 0.500 0.000 0.905
Sn 0.000 0.000 0.194
Sn 0.000 0.000 0.398
Sn 0.000 0.000 0.806
Sn 0.000 0.000 0.602
Zn 0.000 0.000 0.000

Summary:
VASP energy, eV per atom: -5.22
SG: No. 123